[1]
VASP calculation (PBE) on PaGaSnN after structural relaxation.

Lattice parameters (Å, degrees): 4.0020 4.0020 10.3026 90.00 90.00 90.00
Last column: nearest neighbours and their distance in Å.
Element x y z (fractional)
1 Pa 0.2500 0.2500 0.1104  4 N 2.30
2 Pa 0.7500 0.7500 0.8896  4 N 2.30
3 Ga 0.2500 0.7500 0.5000  4 Ga 2.83, 4 Sn 2.96
4 Ga 0.7500 0.2500 0.5000  4 Ga 2.83, 4 Sn 2.96
5 Sn 0.2500 0.2500 0.7118  4 Ga 2.96
6 Sn 0.7500 0.7500 0.2882  4 Ga 2.96
7 N 0.2500 0.7500 0.0000  4 Pa 2.30
8 N 0.7500 0.2500 0.0000  4 Pa 2.30

Total DFT energy (no corrections): -6.995 eV per atom
Formation energy from raw total energies: -3.1 eV/f.u.
Density of states at the Fermi level: 2.39 states/eV/f.u.

***

[2]
VASP calculation (PBE) on Li2HfGa2 after structural relaxation.

Lattice parameters (Å, degrees): 7.5294 7.5294 2.9532 90.00 90.00 90.00
Last column: nearest neighbours and their distance in Å.
Element x y z (fractional)
1 Li 0.1670 0.3330 0.0000  6 Ga 2.60-2.70
2 Li 0.3330 0.8330 0.0000  6 Ga 2.60-2.70
3 Li 0.6670 0.1670 0.0000  6 Ga 2.60-2.70
4 Li 0.8330 0.6670 0.0000  6 Ga 2.60-2.70
5 Hf 0.0000 0.0000 0.5000  4 Ga 2.94, 2 Hf 2.95, 8 Li 3.17
6 Hf 0.5000 0.5000 0.5000  4 Ga 2.94, 2 Hf 2.95, 8 Li 3.17
7 Ga 0.1319 0.6319 0.5000  6 Li 2.60-2.70, 1 Ga 2.81
8 Ga 0.3681 0.1319 0.5000  6 Li 2.60-2.70, 1 Ga 2.81
9 Ga 0.6319 0.8681 0.5000  6 Li 2.60-2.70, 1 Ga 2.81
10 Ga 0.8681 0.3681 0.5000  6 Li 2.60-2.70, 1 Ga 2.81

Total DFT energy (no corrections): -4.104 eV per atom
DFT formation energy: -0.137 eV per atom
Relative energy among the computed polymorphs: 102 meV/atom
Density of states at the Fermi level: 3.49 states/eV/f.u.

***

[3]
VASP calculation (PBE) on KNa2CdGa after structural relaxation.

Lattice parameters (Å, degrees): 5.8227 5.8227 5.2384 90.00 90.00 90.00
Last column: nearest neighbours and their distance in Å.
Element x y z (fractional)
1 K 0.0000 0.0000 0.0000  8 Na 3.92, 4 Cd 4.12
2 Na 0.0000 0.5000 0.5000  2 Ga 2.91
3 Na 0.5000 0.0000 0.5000  2 Ga 2.91
4 Cd 0.5000 0.5000 0.0000  2 Ga 2.62
5 Ga 0.5000 0.5000 0.5000  2 Cd 2.62, 4 Na 2.91

Total DFT energy (no corrections): -1.521 eV per atom
DFT formation energy: 0.014 eV per atom
Relative energy among the computed polymorphs: 0 meV/atom
Density of states at the Fermi level: 2.10 states/eV/f.u.

***

[4]
VASP calculation (PBE) on EuAs2Ru after structural relaxation.

Lattice parameters (Å, degrees): 5.7320 5.7320 5.7320 43.04 43.04 43.04
Last column: nearest neighbours and their distance in Å.
Element x y z (fractional)
1 Eu 0.0000 0.0000 0.0000  6 As 3.00
2 As 0.2204 0.2204 0.2204  3 Ru 2.57
3 As 0.7796 0.7796 0.7796  3 Ru 2.57
4 Ru 0.5000 0.5000 0.5000  6 As 2.57

Total DFT energy (no corrections): -7.880 eV per atom
DFT formation energy: -0.667 eV per atom
Density of states at the Fermi level: 2.24 states/eV/f.u.

***

[5]
VASP calculation (PBE) on TiBS2 after structural relaxation.

Lattice parameters (Å, degrees): 5.6340 5.6340 5.6340 123.61 123.61 83.85
Last column: nearest neighbours and their distance in Å.
Element x y z (fractional)
1 Ti 0.0000 0.0000 0.0000  4 S 2.42
2 Ti 0.7500 0.2500 0.5000  4 S 2.42
3 B 0.2500 0.7500 0.5000  4 S 1.93
4 B 0.5000 0.5000 0.0000  4 S 1.93
5 S 0.1998 0.6250 0.0748  2 B 1.93
6 S 0.3750 0.4498 0.5748  2 B 1.93
7 S 0.5502 0.1250 0.9252  2 B 1.93
8 S 0.8750 0.8002 0.4252  2 B 1.93

Total DFT energy (no corrections): -5.986 eV per atom
Formation energy from raw total energies: -1.1 eV/f.u.
Density of states at the Fermi level: 3.75 states/eV/f.u.

***

[6]
VASP calculation (PBE) on MnRuRh after structural relaxation.

Lattice parameters (Å, degrees): 4.6343 4.6343 4.9763 117.73 117.73 60.03
Last column: nearest neighbours and their distance in Å.
Element x y z (fractional)
1 Mn 0.1647 0.1647 0.4963  4 Ru 2.57-2.63, 5 Rh 2.59-2.69, 3 Mn 2.66-2.68
2 Mn 0.8353 0.8353 0.5037  4 Ru 2.57-2.63, 5 Rh 2.59-2.69, 3 Mn 2.66-2.68
3 Ru 0.3260 0.0025 0.9992  4 Mn 2.57-2.63, 5 Rh 2.61-2.70, 3 Ru 2.64-2.69
4 Ru 0.9975 0.6740 0.0008  4 Mn 2.57-2.63, 5 Rh 2.61-2.70, 3 Ru 2.64-2.69
5 Rh 0.4970 0.5030 0.5000  4 Ru 2.61, 2 Rh 2.61, 6 Mn 2.66-2.69
6 Rh 0.6690 0.3310 0.0000  4 Mn 2.59-2.62, 2 Rh 2.61, 6 Ru 2.64-2.70

Total DFT energy (no corrections): -8.582 eV per atom
DFT formation energy: 0.017 eV per atom
Relative energy among the computed polymorphs: 68 meV/atom
Density of states at the Fermi level: 3.21 states/eV/f.u.